# 1
The following is a DFT calculation (PBE) of crystalline MnReRu2 at its relaxed geometry.

The space group is P4mm (No. 99) and the conventional cell measures 2.689, 2.689 and 7.509 Å, with angles of 90.00, 90.00 and 90.00 degrees. The distinct sites, in fractional coordinates, are Mn at (0.000, 0.000, 0.000), Re at (0.500, 0.500, 0.248), Ru at (0.000, 0.000, 0.506) and Ru at (0.500, 0.500, 0.770).

For the offset from the most stable computed form, the calculation gives 0.0422 eV per atom. The total energy is -9.953 eV/atom. The density of states at the Fermi level comes out at 3.81 states/eV per cell.

***

# 2
The following is a DFT calculation (PBE) of crystalline TaMn2ReRu at its relaxed geometry.

The space group is P4/mmm (No. 123) and the conventional cell measures 4.390, 4.390 and 4.925 Å, with angles of 90.00, 90.00 and 90.00 degrees. The distinct sites, in fractional coordinates, are Ta at (0.000, 0.000, 0.000), Mn at (0.000, 0.500, 0.500), Re at (0.000, 0.000, 0.500) and Ru at (0.500, 0.500, 0.000).

The total energy is -8.816 eV/atom. The density of states at the Fermi level comes out at 5.49 states/eV per cell.

***

no.,energy relative to the elements (meV/atom)
1,89
2,1567